[1]
The following is a PBE calculation of crystalline Pu2CuGe4Rh3 at its relaxed geometry, from the Alexandria database.

Properties
- formation energy from the elements (eV/atom) = -0.54
- crystal system = tetragonal

Unit cell a=4.2618 b=4.2618 c=10.0018 alpha=90.00 beta=90.00 gamma=90.00
With the nearest neighbours (Å) after each atom.
Fractional positions:
Pu (0.0000, 0.5000, 0.2495)  8 Ge 3.25-3.28, 6 Rh 3.25-3.29, 2 Cu 3.29
Pu (0.5000, 0.0000, 0.7505)  8 Ge 3.25-3.28, 6 Rh 3.25-3.29, 2 Cu 3.29
Cu (0.0000, 0.0000, 0.5000)  4 Ge 2.49
Ge (0.0000, 0.0000, 0.0000)  4 Rh 2.48
Ge (0.0000, 0.5000, 0.6294)  3 Rh 2.43-2.49, 2 Cu 2.49
Ge (0.5000, 0.0000, 0.3706)  3 Rh 2.43-2.49, 2 Cu 2.49
Ge (0.5000, 0.5000, 0.0000)  4 Rh 2.48
Rh (0.0000, 0.5000, 0.8724)  5 Ge 2.43-2.48
Rh (0.5000, 0.0000, 0.1276)  5 Ge 2.43-2.48
Rh (0.5000, 0.5000, 0.5000)  4 Ge 2.49

---

[2]
The following is a PBE calculation of crystalline Pu2Cu3Ge4Rh at its relaxed geometry, from the Alexandria database.

Properties
- formation energy from the elements (eV/atom) = -0.37
- crystal system = tetragonal

Unit cell a=4.1891 b=4.1891 c=10.0204 alpha=90.00 beta=90.00 gamma=90.00
With the nearest neighbours (Å) after each atom.
Fractional positions:
Pu (0.0000, 0.5000, 0.2505)  8 Ge 3.18-3.26, 6 Cu 3.20-3.27, 2 Rh 3.27
Pu (0.5000, 0.0000, 0.7495)  8 Ge 3.18-3.26, 6 Cu 3.20-3.27, 2 Rh 3.27
Cu (0.0000, 0.0000, 0.0000)  4 Ge 2.49
Cu (0.0000, 0.5000, 0.6289)  5 Ge 2.37-2.46
Cu (0.5000, 0.0000, 0.3711)  5 Ge 2.37-2.46
Ge (0.0000, 0.0000, 0.5000)  4 Cu 2.46
Ge (0.0000, 0.5000, 0.8657)  3 Cu 2.37-2.49, 2 Rh 2.49
Ge (0.5000, 0.0000, 0.1343)  3 Cu 2.37-2.49, 2 Rh 2.49
Ge (0.5000, 0.5000, 0.5000)  4 Cu 2.46
Rh (0.5000, 0.5000, 0.0000)  4 Ge 2.49

---

[3]
The following is a PBE calculation of crystalline Pu2CuGe6Rh at its relaxed geometry, from the Alexandria database.

Properties
- formation energy from the elements (eV/atom) = -0.22
- crystal system = trigonal

Unit cell a=12.6311 b=12.6311 c=12.6311 alpha=28.24 beta=28.24 gamma=28.24
With the nearest neighbours (Å) after each atom.
Fractional positions:
Pu (0.1126, 0.1126, 0.1126)  9 Ge 3.16-3.28
Pu (0.2971, 0.2971, 0.2971)  9 Ge 3.09-3.22
Pu (0.7029, 0.7029, 0.7029)  9 Ge 3.09-3.22
Pu (0.8874, 0.8874, 0.8874)  9 Ge 3.16-3.28
Cu (0.0000, 0.0000, 0.0000)  6 Ge 2.50
Cu (0.5000, 0.5000, 0.5000)  6 Ge 2.52, 2 Rh 2.55
Ge (0.0653, 0.6609, 0.6609)  1 Rh 2.43, 2 Ge 2.49, 1 Cu 2.52
Ge (0.2285, 0.2285, 0.6664)  1 Cu 2.50, 1 Rh 2.54, 2 Ge 2.70
Ge (0.2285, 0.6664, 0.2285)  1 Cu 2.50, 1 Rh 2.54, 2 Ge 2.70
Ge (0.3336, 0.7715, 0.7715)  1 Cu 2.50, 1 Rh 2.54, 2 Ge 2.70
Ge (0.3391, 0.3391, 0.9347)  1 Rh 2.43, 2 Ge 2.49, 1 Cu 2.52
Ge (0.3391, 0.9347, 0.3391)  1 Rh 2.43, 2 Ge 2.49, 1 Cu 2.52
Ge (0.6609, 0.0653, 0.6609)  1 Rh 2.43, 2 Ge 2.49, 1 Cu 2.52
Ge (0.6609, 0.6609, 0.0653)  1 Rh 2.43, 2 Ge 2.49, 1 Cu 2.52
Ge (0.6664, 0.2285, 0.2285)  1 Cu 2.50, 1 Rh 2.54, 2 Ge 2.70
Ge (0.7715, 0.3336, 0.7715)  1 Cu 2.50, 1 Rh 2.54, 2 Ge 2.70
Ge (0.7715, 0.7715, 0.3336)  1 Cu 2.50, 1 Rh 2.54, 2 Ge 2.70
Ge (0.9347, 0.3391, 0.3391)  1 Rh 2.43, 2 Ge 2.49, 1 Cu 2.52
Rh (0.4298, 0.4298, 0.4298)  6 Ge 2.43-2.54, 1 Cu 2.55
Rh (0.5702, 0.5702, 0.5702)  6 Ge 2.43-2.54, 1 Cu 2.55

---

[4]
The following is a PBE calculation of crystalline Pu2CuGe6Ru at its relaxed geometry, from the Alexandria database.

Properties
- formation energy from the elements (eV/atom) = -0.16
- crystal system = trigonal

Unit cell a=12.7606 b=12.7606 c=12.7606 alpha=27.74 beta=27.74 gamma=27.74
With the nearest neighbours (Å) after each atom.
Fractional positions:
Pu (0.1127, 0.1127, 0.1127)  9 Ge 3.13-3.28
Pu (0.2985, 0.2985, 0.2985)  9 Ge 3.08-3.20
Pu (0.7015, 0.7015, 0.7015)  9 Ge 3.08-3.20
Pu (0.8873, 0.8873, 0.8873)  9 Ge 3.13-3.28
Cu (0.0000, 0.0000, 0.0000)  6 Ge 2.49
Cu (0.5000, 0.5000, 0.5000)  6 Ge 2.51, 2 Ru 2.59
Ge (0.0675, 0.6593, 0.6593)  1 Ru 2.41, 2 Ge 2.50, 1 Cu 2.51
Ge (0.2279, 0.2279, 0.6682)  1 Cu 2.49, 1 Ru 2.55, 2 Ge 2.69
Ge (0.2279, 0.6682, 0.2279)  1 Cu 2.49, 1 Ru 2.55, 2 Ge 2.69
Ge (0.3318, 0.7721, 0.7721)  1 Cu 2.49, 1 Ru 2.55, 2 Ge 2.69
Ge (0.3407, 0.3407, 0.9325)  1 Ru 2.41, 2 Ge 2.50, 1 Cu 2.51
Ge (0.3407, 0.9325, 0.3407)  1 Ru 2.41, 2 Ge 2.50, 1 Cu 2.51
Ge (0.6593, 0.0675, 0.6593)  1 Ru 2.41, 2 Ge 2.50, 1 Cu 2.51
Ge (0.6593, 0.6593, 0.0675)  1 Ru 2.41, 2 Ge 2.50, 1 Cu 2.51
Ge (0.6682, 0.2279, 0.2279)  1 Cu 2.49, 1 Ru 2.55, 2 Ge 2.69
Ge (0.7721, 0.3318, 0.7721)  1 Cu 2.49, 1 Ru 2.55, 2 Ge 2.69
Ge (0.7721, 0.7721, 0.3318)  1 Cu 2.49, 1 Ru 2.55, 2 Ge 2.69
Ge (0.9325, 0.3407, 0.3407)  1 Ru 2.41, 2 Ge 2.50, 1 Cu 2.51
Ru (0.4295, 0.4295, 0.4295)  6 Ge 2.41-2.55, 1 Cu 2.59
Ru (0.5705, 0.5705, 0.5705)  6 Ge 2.41-2.55, 1 Cu 2.59

---

[5]
The following is a PBE calculation of crystalline Pu2CuGeS5 at its relaxed geometry, from the Alexandria database.

Properties
- formation energy without anion corrections (eV/atom) = -0.97
- crystal system = orthorhombic

Unit cell a=8.7829 b=8.7829 c=11.1095 alpha=90.00 beta=90.00 gamma=154.50
With the nearest neighbours (Å) after each atom.
Fractional positions:
Pu (0.1119, 0.8881, 0.5000)  7 S 2.84-2.93, 2 Cu 3.13
Pu (0.1198, 0.8802, 0.1254)  7 S 2.86-2.92, 1 Cu 3.13
Pu (0.8802, 0.1198, 0.6254)  7 S 2.86-2.92, 1 Cu 3.13
Pu (0.8881, 0.1119, 0.0000)  7 S 2.84-2.93, 2 Cu 3.13
Cu (0.2519, 0.7481, 0.9306)  3 S 2.25-2.26
Cu (0.7481, 0.2519, 0.4306)  3 S 2.25-2.26
Ge (0.4083, 0.5917, 0.2936)  5 S 2.40-2.56
Ge (0.5917, 0.4083, 0.7936)  5 S 2.40-2.56
S (0.0390, 0.9610, 0.8944)  2 Ge 2.41
S (0.3075, 0.6925, 0.1439)  1 Ge 2.40, 1 Cu 2.55
S (0.3116, 0.6884, 0.4688)  2 Cu 2.26
S (0.3606, 0.6394, 0.8172)  1 Cu 2.25
S (0.4926, 0.5074, 0.1150)  1 Ge 2.45
S (0.5074, 0.4926, 0.6150)  1 Ge 2.45
S (0.6394, 0.3606, 0.3172)  1 Cu 2.25
S (0.6884, 0.3116, 0.9688)  2 Cu 2.26
S (0.6925, 0.3075, 0.6439)  1 Ge 2.40, 1 Cu 2.55
S (0.9610, 0.0390, 0.3944)  2 Ge 2.41

---

[6]
The following is a PBE calculation of crystalline PuScCuGe at its relaxed geometry, from the Alexandria database.

Properties
- formation energy from the elements (eV/atom) = -0.33
- crystal system = cubic

Unit cell a=6.8475 b=6.8475 c=6.8475 alpha=90.00 beta=90.00 gamma=90.00
With the nearest neighbours (Å) after each atom.
Fractional positions:
Pu (0.0000, 0.0000, 0.0000)  4 Ge 2.97, 4 Cu 2.97
Pu (0.0000, 0.5000, 0.5000)  4 Ge 2.97, 4 Cu 2.97
Pu (0.5000, 0.0000, 0.5000)  4 Ge 2.97, 4 Cu 2.97
Pu (0.5000, 0.5000, 0.0000)  4 Ge 2.97, 4 Cu 2.97
Sc (0.0000, 0.0000, 0.5000)  4 Ge 2.97, 4 Cu 2.97
Sc (0.0000, 0.5000, 0.0000)  4 Ge 2.97, 4 Cu 2.97
Sc (0.5000, 0.0000, 0.0000)  4 Ge 2.97, 4 Cu 2.97
Sc (0.5000, 0.5000, 0.5000)  4 Cu 2.97, 4 Ge 2.97
Cu (0.2500, 0.2500, 0.2500)  4 Sc 2.97, 4 Pu 2.97
Cu (0.2500, 0.7500, 0.7500)  4 Sc 2.97, 4 Pu 2.97
Cu (0.7500, 0.2500, 0.7500)  4 Sc 2.97, 4 Pu 2.97
Cu (0.7500, 0.7500, 0.2500)  4 Sc 2.97, 4 Pu 2.97
Ge (0.2500, 0.2500, 0.7500)  4 Sc 2.97, 4 Pu 2.97
Ge (0.2500, 0.7500, 0.2500)  4 Sc 2.97, 4 Pu 2.97
Ge (0.7500, 0.2500, 0.2500)  4 Sc 2.97, 4 Pu 2.97
Ge (0.7500, 0.7500, 0.7500)  4 Sc 2.97, 4 Pu 2.97

---

no.,final energy (eV/f.u.)
1,-78.65
2,-70.43
3,-70.00
4,-71.36
5,-66.72
6,-30.70